DFT (GGA-PBE) results for a geometry-optimized SrCdMo3 structure.

Output
E	-4.828	eV per atom
distance to the lowest polymorph of the same formula	0	meV/atom
spin magnetization	0.00	μB/cell
D(E_F)	1.947	states/eV per atom

```
data_SrCdMo3
_cell_length_a 5.042
_cell_length_b 5.042
_cell_length_c 5.042
_cell_angle_alpha 90.00
_cell_angle_beta 90.00
_cell_angle_gamma 90.00
_space_group_name_H-M_alt 'P 1'
_space_group_IT_number 1
loop_
_space_group_symop_operation_xyz
'x,y,z'
loop_
_atom_site_label
_atom_site_fract_x
_atom_site_fract_y
_atom_site_fract_z
_atom_site_occupancy
Sr1 0.500 0.500 0.500 1
Mo1 0.000 0.500 0.000 1
Mo2 0.000 0.000 0.500 1
Mo3 0.500 0.000 0.000 1
Cd1 0.000 0.000 0.000 1
```



DFT (GGA-PBE) results for a geometry-optimized SrCdMo2 structure.

Output
E	-4.712	eV per atom
distance to the lowest polymorph of the same formula	988	meV/atom
spin magnetization	0.01	μB/cell
D(E_F)	1.803	states/eV per atom

```
data_SrCdMo2
_cell_length_a 4.868
_cell_length_b 4.868
_cell_length_c 4.868
_cell_angle_alpha 60.00
_cell_angle_beta 60.00
_cell_angle_gamma 60.00
_space_group_name_H-M_alt 'P 1'
_space_group_IT_number 1
loop_
_space_group_symop_operation_xyz
'x,y,z'
loop_
_atom_site_label
_atom_site_fract_x
_atom_site_fract_y
_atom_site_fract_z
_atom_site_occupancy
Sr1 0.000 0.000 0.000 1
Mo1 0.250 0.250 0.250 1
Mo2 0.750 0.750 0.750 1
Cd1 0.500 0.500 0.500 1
```



DFT (GGA-PBE) results for a geometry-optimized Sr2CdMo structure.

Output
E	-2.891	eV per atom
distance to the lowest polymorph of the same formula	338	meV/atom
spin magnetization	5.71	μB/cell
D(E_F)	1.412	states/eV per atom

```
data_Sr2CdMo
_cell_length_a 8.766
_cell_length_b 8.766
_cell_length_c 7.016
_cell_angle_alpha 51.34
_cell_angle_beta 51.34
_cell_angle_gamma 90.00
_space_group_name_H-M_alt 'P 1'
_space_group_IT_number 1
loop_
_space_group_symop_operation_xyz
'x,y,z'
loop_
_atom_site_label
_atom_site_fract_x
_atom_site_fract_y
_atom_site_fract_z
_atom_site_occupancy
Sr1 0.617 0.125 0.250 1
Sr2 0.133 0.625 0.250 1
Sr3 0.375 0.383 0.750 1
Sr4 0.875 0.867 0.750 1
Mo1 0.500 0.500 0.000 1
Mo2 0.250 0.750 0.500 1
Cd1 0.000 0.000 0.000 1
Cd2 0.750 0.250 0.500 1
```



DFT (GGA-PBE) results for a geometry-optimized SrCdMo2 structure.

Output
E	-5.087	eV per atom
distance to the lowest polymorph of the same formula	613	meV/atom
spin magnetization	0.00	μB/cell
D(E_F)	0.948	states/eV per atom

```
data_SrCdMo2
_cell_length_a 5.849
_cell_length_b 5.849
_cell_length_c 2.766
_cell_angle_alpha 90.00
_cell_angle_beta 90.00
_cell_angle_gamma 119.61
_space_group_name_H-M_alt 'P 1'
_space_group_IT_number 1
loop_
_space_group_symop_operation_xyz
'x,y,z'
loop_
_atom_site_label
_atom_site_fract_x
_atom_site_fract_y
_atom_site_fract_z
_atom_site_occupancy
Cd1 0.000 0.500 0.500 1
Mo1 0.000 0.000 0.000 1
Mo2 0.500 0.500 0.000 1
Sr1 0.500 0.000 0.500 1
```



DFT (GGA-PBE) results for a geometry-optimized SrCdMo3 structure.

Output
E	-4.179	eV per atom
distance to the lowest polymorph of the same formula	649	meV/atom
spin magnetization	0.00	μB/cell
D(E_F)	0.978	states/eV per atom

```
data_SrCdMo3
_cell_length_a 4.828
_cell_length_b 4.828
_cell_length_c 4.828
_cell_angle_alpha 90.00
_cell_angle_beta 90.00
_cell_angle_gamma 90.00
_space_group_name_H-M_alt 'P 1'
_space_group_IT_number 1
loop_
_space_group_symop_operation_xyz
'x,y,z'
loop_
_atom_site_label
_atom_site_fract_x
_atom_site_fract_y
_atom_site_fract_z
_atom_site_occupancy
Sr1 0.000 0.000 0.000 1
Mo1 0.000 0.500 0.000 1
Mo2 0.000 0.000 0.500 1
Mo3 0.500 0.000 0.000 1
Cd1 0.500 0.500 0.500 1
```



DFT (GGA-PBE) results for a geometry-optimized SrCdMo2 structure.

Output
E	-5.415	eV per atom
distance to the lowest polymorph of the same formula	285	meV/atom
spin magnetization	0.00	μB/cell
D(E_F)	0.780	states/eV per atom

```
data_SrCdMo2
_cell_length_a 6.004
_cell_length_b 6.004
_cell_length_c 6.004
_cell_angle_alpha 147.43
_cell_angle_beta 126.20
_cell_angle_gamma 64.32
_space_group_name_H-M_alt 'P 1'
_space_group_IT_number 1
loop_
_space_group_symop_operation_xyz
'x,y,z'
loop_
_atom_site_label
_atom_site_fract_x
_atom_site_fract_y
_atom_site_fract_z
_atom_site_occupancy
Cd1 0.226 0.726 0.500 1
Mo1 0.963 0.963 0.000 1
Mo2 0.796 0.296 0.500 1
Sr1 0.516 0.516 0.000 1
```



DFT (GGA-PBE) results for a geometry-optimized SrCd2Mo structure.

Output
E	-3.164	eV per atom
distance to the lowest polymorph of the same formula	28	meV/atom
spin magnetization	0.00	μB/cell
D(E_F)	0.783	states/eV per atom

```
data_SrCd2Mo
_cell_length_a 3.098
_cell_length_b 3.098
_cell_length_c 9.394
_cell_angle_alpha 90.00
_cell_angle_beta 90.00
_cell_angle_gamma 89.99
_space_group_name_H-M_alt 'P 1'
_space_group_IT_number 1
loop_
_space_group_symop_operation_xyz
'x,y,z'
loop_
_atom_site_label
_atom_site_fract_x
_atom_site_fract_y
_atom_site_fract_z
_atom_site_occupancy
Cd1 0.000 0.000 0.033 1
Cd2 0.000 0.000 0.467 1
Mo1 0.500 0.500 0.250 1
Sr1 0.500 0.500 0.750 1
```



DFT (GGA-PBE) results for a geometry-optimized Sr2CdMo structure.

Output
E	-3.000	eV per atom
distance to the lowest polymorph of the same formula	228	meV/atom
spin magnetization	1.64	μB/cell
D(E_F)	0.920	states/eV per atom

```
data_Sr2CdMo
_cell_length_a 10.943
_cell_length_b 10.943
_cell_length_c 10.943
_cell_angle_alpha 19.04
_cell_angle_beta 19.04
_cell_angle_gamma 19.04
_space_group_name_H-M_alt 'P 1'
_space_group_IT_number 1
loop_
_space_group_symop_operation_xyz
'x,y,z'
loop_
_atom_site_label
_atom_site_fract_x
_atom_site_fract_y
_atom_site_fract_z
_atom_site_occupancy
Cd1 0.250 0.250 0.250 1
Mo1 0.750 0.750 0.750 1
Sr1 0.009 0.009 0.009 1
Sr2 0.491 0.491 0.491 1
```



DFT (GGA-PBE) results for a geometry-optimized SrCdMo2 structure.

Output
E	-5.192	eV per atom
distance to the lowest polymorph of the same formula	508	meV/atom
spin magnetization	0.00	μB/cell
D(E_F)	0.858	states/eV per atom

```
data_SrCdMo2
_cell_length_a 5.386
_cell_length_b 2.901
_cell_length_c 5.439
_cell_angle_alpha 85.14
_cell_angle_beta 90.00
_cell_angle_gamma 90.00
_space_group_name_H-M_alt 'P 1'
_space_group_IT_number 1
loop_
_space_group_symop_operation_xyz
'x,y,z'
loop_
_atom_site_label
_atom_site_fract_x
_atom_site_fract_y
_atom_site_fract_z
_atom_site_occupancy
Cd1 0.500 0.750 0.750 1
Mo1 0.000 0.899 0.024 1
Mo2 0.000 0.601 0.476 1
Sr1 0.500 0.250 0.250 1
```



DFT (GGA-PBE) results for a geometry-optimized Sr2CdMo structure.

Output
E	-3.195	eV per atom
distance to the lowest polymorph of the same formula	33	meV/atom
spin magnetization	2.48	μB/cell
D(E_F)	1.025	states/eV per atom

```
data_Sr2CdMo
_cell_length_a 6.673
_cell_length_b 6.673
_cell_length_c 5.532
_cell_angle_alpha 65.94
_cell_angle_beta 65.94
_cell_angle_gamma 33.59
_space_group_name_H-M_alt 'P 1'
_space_group_IT_number 1
loop_
_space_group_symop_operation_xyz
'x,y,z'
loop_
_atom_site_label
_atom_site_fract_x
_atom_site_fract_y
_atom_site_fract_z
_atom_site_occupancy
Cd1 0.537 0.537 0.466 1
Mo1 0.217 0.217 0.281 1
Sr1 0.978 0.978 0.024 1
Sr2 0.769 0.769 0.730 1
```



DFT (GGA-PBE) results for a geometry-optimized Sr2CdMo structure.

Output
E	-3.073	eV per atom
distance to the lowest polymorph of the same formula	155	meV/atom
spin magnetization	2.99	μB/cell
D(E_F)	1.261	states/eV per atom

```
data_Sr2CdMo
_cell_length_a 6.013
_cell_length_b 6.013
_cell_length_c 6.013
_cell_angle_alpha 131.35
_cell_angle_beta 131.35
_cell_angle_gamma 71.25
_space_group_name_H-M_alt 'P 1'
_space_group_IT_number 1
loop_
_space_group_symop_operation_xyz
'x,y,z'
loop_
_atom_site_label
_atom_site_fract_x
_atom_site_fract_y
_atom_site_fract_z
_atom_site_occupancy
Cd1 0.500 0.500 0.000 1
Mo1 0.750 0.250 0.500 1
Sr1 0.000 0.000 0.000 1
Sr2 0.250 0.750 0.500 1
```



DFT (GGA-PBE) results for a geometry-optimized Sr2CdMo structure.

Output
E	-3.152	eV per atom
distance to the lowest polymorph of the same formula	76	meV/atom
spin magnetization	3.07	μB/cell
D(E_F)	1.229	states/eV per atom

```
data_Sr2CdMo
_cell_length_a 5.606
_cell_length_b 5.606
_cell_length_c 5.606
_cell_angle_alpha 60.00
_cell_angle_beta 60.00
_cell_angle_gamma 60.00
_space_group_name_H-M_alt 'P 1'
_space_group_IT_number 1
loop_
_space_group_symop_operation_xyz
'x,y,z'
loop_
_atom_site_label
_atom_site_fract_x
_atom_site_fract_y
_atom_site_fract_z
_atom_site_occupancy
Sr1 0.250 0.250 0.250 1
Sr2 0.750 0.750 0.750 1
Mo1 0.000 0.000 0.000 1
Cd1 0.500 0.500 0.500 1
```



DFT (GGA-PBE) results for a geometry-optimized SrCdMo2 structure.

Output
E	-5.199	eV per atom
distance to the lowest polymorph of the same formula	501	meV/atom
spin magnetization	0.00	μB/cell
D(E_F)	0.393	states/eV per atom

```
data_SrCdMo2
_cell_length_a 2.821
_cell_length_b 2.821
_cell_length_c 10.120
_cell_angle_alpha 90.00
_cell_angle_beta 90.00
_cell_angle_gamma 90.06
_space_group_name_H-M_alt 'P 1'
_space_group_IT_number 1
loop_
_space_group_symop_operation_xyz
'x,y,z'
loop_
_atom_site_label
_atom_site_fract_x
_atom_site_fract_y
_atom_site_fract_z
_atom_site_occupancy
Cd1 0.500 0.500 0.750 1
Mo1 0.000 0.000 0.976 1
Mo2 0.000 0.000 0.524 1
Sr1 0.500 0.500 0.250 1
```



DFT (GGA-PBE) results for a geometry-optimized SrCdMo2 structure.

Output
E	-5.007	eV per atom
distance to the lowest polymorph of the same formula	693	meV/atom
spin magnetization	0.00	μB/cell
D(E_F)	1.454	states/eV per atom

```
data_SrCdMo2
_cell_length_a 10.785
_cell_length_b 10.785
_cell_length_c 10.785
_cell_angle_alpha 15.81
_cell_angle_beta 15.81
_cell_angle_gamma 15.81
_space_group_name_H-M_alt 'P 1'
_space_group_IT_number 1
loop_
_space_group_symop_operation_xyz
'x,y,z'
loop_
_atom_site_label
_atom_site_fract_x
_atom_site_fract_y
_atom_site_fract_z
_atom_site_occupancy
Cd1 0.750 0.750 0.750 1
Mo1 0.006 0.006 0.006 1
Mo2 0.494 0.494 0.494 1
Sr1 0.250 0.250 0.250 1
```



DFT (GGA-PBE) results for a geometry-optimized Sr2CdMo structure.

Output
E	-2.947	eV per atom
distance to the lowest polymorph of the same formula	281	meV/atom
spin magnetization	3.12	μB/cell
D(E_F)	0.930	states/eV per atom

```
data_Sr2CdMo
_cell_length_a 5.409
_cell_length_b 5.409
_cell_length_c 7.115
_cell_angle_alpha 80.68
_cell_angle_beta 80.68
_cell_angle_gamma 39.75
_space_group_name_H-M_alt 'P 1'
_space_group_IT_number 1
loop_
_space_group_symop_operation_xyz
'x,y,z'
loop_
_atom_site_label
_atom_site_fract_x
_atom_site_fract_y
_atom_site_fract_z
_atom_site_occupancy
Cd1 0.750 0.750 0.750 1
Mo1 0.250 0.250 0.250 1
Sr1 0.997 0.997 0.015 1
Sr2 0.503 0.503 0.485 1
```



Results for calculated volume: 128.2 81.6 252.6 82.3 112.6 93.0 90.2 121.9 84.7 123.3 119.9 124.6 80.5 81.2 131.1 (in Å³ per cell, following the order of the records).
Results for formation energy from the elements: 2.190 1.353 0.887 0.978 2.839 0.649 0.422 0.777 0.872 0.582 0.704 0.625 0.866 1.058 0.830 (in eV/atom, following the order of the records).